Density functional theory data (PBE) for a relaxed CrGeOs crystal.

## Properties
Space-group type = C2/m (12)
Energy = -8.36 eV/atom

Unit cell a=6.6199 b=6.6199 c=4.6179 alpha=101.59 beta=101.59 gamma=25.04
Closest atoms and distances in Å follow each position.
Positions (direct):
Cr 0.0696 0.0696 0.3697  1 Cr 2.36, 1 Ge 2.51, 2 Os 2.54
Cr 0.9304 0.9304 0.6303  1 Cr 2.36, 1 Ge 2.51, 2 Os 2.54
Ge 0.2425 0.2425 0.7375  1 Cr 2.51, 3 Os 2.55-2.66, 4 Ge 2.66-2.79
Ge 0.7575 0.7575 0.2625  1 Cr 2.51, 3 Os 2.55-2.66, 4 Ge 2.66-2.79
Os 0.4137 0.4137 0.1256  6 Cr 2.54-2.75, 3 Ge 2.55-2.66, 1 Os 2.72
Os 0.5863 0.5863 0.8744  6 Cr 2.54-2.75, 3 Ge 2.55-2.66, 1 Os 2.72

---

Density functional theory data (PBE) for a relaxed Er6AgS8 crystal.

## Properties
Space-group type = Fm-3m (225)
Formation energy (no corrections) = -1821 meV/atom

Unit cell a=7.7079 b=7.7079 c=7.7079 alpha=60.00 beta=60.00 gamma=60.00
Closest atoms and distances in Å follow each position.
Positions (direct):
Er 0.0000 0.0000 0.5000  6 S 2.73
Er 0.0000 0.5000 0.0000  6 S 2.73
Er 0.0000 0.5000 0.5000  6 S 2.73
Er 0.5000 0.0000 0.0000  6 S 2.73
Er 0.5000 0.0000 0.5000  6 S 2.73
Er 0.5000 0.5000 0.0000  6 S 2.73
Ag 0.0000 0.0000 0.0000  6 S 2.79
S 0.2500 0.2500 0.2500  6 Er 2.73
S 0.2559 0.2559 0.7441  4 Er 2.73, 1 Ag 2.79
S 0.2559 0.7441 0.2559  4 Er 2.73, 1 Ag 2.79
S 0.2559 0.7441 0.7441  4 Er 2.73, 1 Ag 2.79
S 0.7441 0.2559 0.2559  4 Er 2.73, 1 Ag 2.79
S 0.7441 0.2559 0.7441  4 Er 2.73, 1 Ag 2.79
S 0.7441 0.7441 0.2559  4 Er 2.73, 1 Ag 2.79
S 0.7500 0.7500 0.7500  6 Er 2.73

---

Density functional theory data (PBE) for a relaxed Pr2Al9Pd3 crystal.

## Properties
Space-group type = C2/c (15)
Energy = -4.89 eV/atom

Unit cell a=7.7602 b=7.7602 c=10.6469 alpha=111.33 beta=111.33 gamma=59.78
Closest atoms and distances in Å follow each position.
Positions (direct):
Pr 0.0850 0.2532 0.2501  11 Al 3.09-3.23
Pr 0.2532 0.0850 0.7501  11 Al 3.09-3.23
Pr 0.7468 0.9150 0.2499  11 Al 3.09-3.23
Pr 0.9150 0.7468 0.7499  11 Al 3.09-3.23
Al 0.0267 0.8539 0.0718  3 Pd 2.65-2.66, 5 Al 2.82-2.96
Al 0.1461 0.9733 0.4282  3 Pd 2.65-2.66, 5 Al 2.82-2.96
Al 0.1943 0.3572 0.5702  3 Pd 2.65-2.67, 5 Al 2.82-2.96
Al 0.2149 0.5814 0.2520  2 Pd 2.61-2.64, 6 Al 2.74-2.92
Al 0.3162 0.4832 0.9470  3 Pd 2.64-2.67, 5 Al 2.77-2.95
Al 0.3572 0.1943 0.0702  3 Pd 2.65-2.67, 5 Al 2.82-2.96
Al 0.3764 0.6236 0.7500  2 Pd 2.62, 4 Al 2.74-2.83
Al 0.4186 0.7851 0.2480  2 Pd 2.61-2.64, 6 Al 2.74-2.92
Al 0.4832 0.3162 0.4470  3 Pd 2.64-2.67, 5 Al 2.77-2.95
Al 0.5168 0.6838 0.5530  3 Pd 2.64-2.67, 5 Al 2.77-2.95
Al 0.5814 0.2149 0.7520  2 Pd 2.61-2.64, 6 Al 2.74-2.92
Al 0.6236 0.3764 0.2500  2 Pd 2.62, 4 Al 2.74-2.83
Al 0.6428 0.8057 0.9298  3 Pd 2.65-2.67, 5 Al 2.82-2.96
Al 0.6838 0.5168 0.0530  3 Pd 2.64-2.67, 5 Al 2.77-2.95
Al 0.7851 0.4186 0.7480  2 Pd 2.61-2.64, 6 Al 2.74-2.92
Al 0.8057 0.6428 0.4298  3 Pd 2.65-2.67, 5 Al 2.82-2.96
Al 0.8539 0.0267 0.5718  3 Pd 2.65-2.66, 5 Al 2.82-2.96
Al 0.9733 0.1461 0.9282  3 Pd 2.65-2.66, 5 Al 2.82-2.96
Pd 0.0000 0.5000 0.0000  8 Al 2.64-2.66
Pd 0.1594 0.6713 0.5000  8 Al 2.61-2.67
Pd 0.3287 0.8406 0.0000  8 Al 2.61-2.67
Pd 0.5000 0.0000 0.5000  8 Al 2.64-2.66
Pd 0.6713 0.1594 0.0000  8 Al 2.61-2.67
Pd 0.8406 0.3287 0.5000  8 Al 2.61-2.67

---

no.,total magnetic moment (μB/atom),N(E_F) (states/eV/cell)
1,0.00,2.80
2,0.00,4.61
3,0.00,9.73